Entry 1:
Material: Ca2Y2Mn
Method: DFT, PBE-GGA
State: relaxed

a = 10.027 Å, b = 10.027 Å, c = 10.027 Å
α = 155.22°, β = 155.22°, γ = 35.32°
Atoms (fractional coordinates):
Ca (0.089, 0.089, 0.000)
Ca (0.911, 0.911, 0.000)
Y (0.250, 0.750, 0.500)
Y (0.750, 0.250, 0.500)
Mn (0.500, 0.500, 0.000)

## Properties
* energy relative to the lowest polymorph listed for this composition: 114 meV per atom
* formation energy: 315 kJ/mol of formula units

Entry 2:
Material: AcZnAs2
Method: DFT, PBE-GGA
State: relaxed

a = 4.331 Å, b = 4.331 Å, c = 10.354 Å
α = 90.00°, β = 90.00°, γ = 90.00°
Atoms (fractional coordinates):
Ac (0.250, 0.250, 0.223)
Ac (0.750, 0.750, 0.777)
Zn (0.250, 0.750, 0.500)
Zn (0.750, 0.250, 0.500)
As (0.250, 0.250, 0.643)
As (0.250, 0.750, 0.000)
As (0.750, 0.250, 0.000)
As (0.750, 0.750, 0.357)

## Properties
* energy relative to the lowest polymorph listed for this composition: 0 meV per atom
* formation energy: -282 kJ/mol of formula units

Entry 3:
Material: YHIr
Method: DFT, PBE-GGA
State: relaxed

a = 3.917 Å, b = 3.917 Å, c = 3.516 Å
α = 90.00°, β = 90.00°, γ = 120.00°
Atoms (fractional coordinates):
Y (0.000, 0.000, 0.000)
H (0.333, 0.667, 0.500)
Ir (0.667, 0.333, 0.500)

## Properties
* energy relative to the lowest polymorph listed for this composition: 370 meV per atom

Entry 4:
Material: Pr3Cu
Method: DFT, PBE-GGA
State: relaxed

a = 3.652 Å, b = 3.730 Å, c = 9.505 Å
α = 90.00°, β = 90.00°, γ = 90.00°
Atoms (fractional coordinates):
Pr (0.000, 0.000, 0.000)
Pr (0.000, 0.500, 0.331)
Pr (0.500, 0.500, 0.719)
Cu (0.500, 0.000, 0.475)

## Properties
* energy relative to the lowest polymorph listed for this composition: 212 meV per atom
* formation energy: 56 kJ/mol of formula units

Entry 5:
Material: Mg2BiBr
Method: DFT, PBE-GGA
State: relaxed

a = 4.772 Å, b = 4.772 Å, c = 10.710 Å
α = 95.35°, β = 95.35°, γ = 89.19°
Atoms (fractional coordinates):
Mg (0.000, 0.000, 0.000)
Mg (0.461, 0.382, 0.661)
Mg (0.517, 0.483, 0.000)
Mg (0.618, 0.539, 0.339)
Bi (0.053, 0.538, 0.166)
Bi (0.462, 0.947, 0.834)
Br (0.431, 0.070, 0.424)
Br (0.930, 0.569, 0.576)

## Properties
* uncorrected formation energy: -0.59 eV/atom
* energy relative to the lowest polymorph listed for this composition: 47 meV per atom

Entry 6:
Material: BeCuCl2
Method: DFT, PBE-GGA
State: relaxed

a = 3.695 Å, b = 3.695 Å, c = 8.261 Å
α = 108.30°, β = 108.30°, γ = 49.22°
Atoms (fractional coordinates):
Be (0.000, 0.000, 0.000)
Cu (0.284, 0.284, 0.784)
Cl (0.529, 0.529, 0.622)
Cl (0.627, 0.627, 0.164)

## Properties
* uncorrected formation energy: -0.35 eV/atom
* energy relative to the lowest polymorph listed for this composition: 115 meV per atom